Below is an optimized crystal structure of TlVF3, with properties calculated at the PBE with a Hubbard U level.

Cell and atoms, written as POSCAR:
```
TlVF3
1.0
4.240 0.000 0.000
0.000 4.240 0.000
2.120 2.120 10.062
Tl V F
2 2 6
Cartesian
0.000 0.000 0.000
2.120 4.240 5.031
4.240 2.120 7.368
4.240 2.120 2.694
1.041 4.240 2.423
2.120 5.319 7.639
2.120 3.161 7.639
3.199 4.240 2.423
2.120 2.120 3.279
4.240 4.240 6.782
```

Values from the calculation:
D(E_F) = 1.49 states/eV per cell
Total energy = -0.3339 Ry/atom
Volume = 180.91 Å³ per cell
Total moment = 0.5956 μB/atom